Record 1
This record from the Alexandria database describes an optimized crystal structure of AcPm2ErTm5. The functional is PBE-GGA.

Structure (POSCAR):
```
AcPm2ErTm5
1.0
-4.4080 4.4080 7.6526
4.4080 -4.4080 7.6526
4.4080 4.4080 -7.6526
Ac Pm Er Tm
2 4 2 10
Cartesian
0.0000 0.0000 3.8263
0.0000 0.0000 11.4790
5.4287 1.0207 0.0000
1.0207 3.3874 0.0000
3.3874 1.0207 7.6526
-1.0207 3.3874 7.6526
4.4080 0.0000 3.8263
0.0000 4.4080 3.8263
0.0000 0.0000 0.0000
2.5867 1.8214 -2.0215
2.5867 -1.8214 5.6311
2.5867 1.8214 2.0215
2.5867 -1.8214 9.6742
0.0000 0.0000 7.6526
1.8214 6.2294 -2.0215
1.8214 2.5867 5.6311
1.8214 6.2294 2.0215
1.8214 2.5867 9.6742
```

## Properties
Formation energy   0.2658 eV/atom
Calculated total energy   -4.238 eV/atom
Space group   I4/mcm



Record 2
This record from the Alexandria database describes an optimized crystal structure of AcPm4Er2Tm. The functional is PBE-GGA.

Structure (POSCAR):
```
AcPm4Er2Tm
1.0
5.8871 0.0000 0.0000
0.0000 5.8871 0.0000
0.0000 0.0000 7.9216
Ac Pm Er Tm
1 4 2 1
Cartesian
0.0000 0.0000 0.0000
0.0000 2.9435 2.1679
0.0000 2.9435 5.7538
2.9435 0.0000 2.1679
2.9435 0.0000 5.7538
0.0000 0.0000 3.9608
2.9435 2.9435 0.0000
2.9435 2.9435 3.9608
```

## Properties
Formation energy   0.1233 eV/atom
Calculated total energy   -4.465 eV/atom
Space group   P4/mmm



Record 3
This record from the Alexandria database describes an optimized crystal structure of AcPm3ErTm. The functional is PBE-GGA.

Structure (POSCAR):
```
AcPm3ErTm
1.0
8.1601 0.0000 0.0000
0.0000 5.1910 0.0000
-3.3194 0.0000 9.8151
Ac Pm Er Tm
2 6 2 2
Cartesian
0.4299 1.2977 2.8739
4.4107 3.8932 6.9412
-0.4065 3.8932 5.3744
1.2879 3.8932 0.3890
-1.2106 1.2977 7.7912
6.0513 3.8932 2.0239
3.5528 1.2977 9.4261
5.2472 1.2977 4.4407
1.1369 3.8932 8.6102
3.7038 1.2977 1.2049
1.9689 1.2977 6.1688
2.8717 3.8932 3.6463
```

## Properties
Formation energy   0.0457 eV/atom
Calculated total energy   -4.520 eV/atom
Space group   P2_1/m